# 1
This record from Alexandria describes a relaxed TbCeCoPd crystal. The functional is GGA-PBE.

Calculated values
Uncorrected energy = -6.086 eV/atom
D(E_F) = 2.031 states/eV per atom
Space-group type = No. 216
M_tot = 0.23 μB/f.u.
DFT formation energy = -0.37 eV per atom

Geometry as POSCAR:
```
TbCeCoPd
1.0
0.000 3.467 3.467
3.467 0.000 3.467
3.467 3.467 0.000
Tb Ce Co Pd
1 1 1 1
direct
0.000 0.000 0.000
0.500 0.500 0.500
0.250 0.250 0.250
0.750 0.750 0.750
```

=====

# 2
This record from Alexandria describes a relaxed Ca2US5 crystal. The functional is GGA-PBE.

Calculated values
Uncorrected energy = -5.813 eV/atom
Uncorrected formation energy = -1322 meV/atom
Space-group type = No. 69
M_tot = 0.00 μB/f.u.

Geometry as POSCAR:
```
Ca2US5
1.0
0.000 5.181 6.961
2.714 0.000 6.961
2.714 5.181 0.000
Ca U S
2 1 5
direct
0.189 0.189 0.811
0.811 0.811 0.189
0.500 0.500 0.500
0.000 0.000 0.000
0.205 0.513 0.487
0.487 0.795 0.205
0.513 0.205 0.795
0.795 0.487 0.513
```

=====

# 3
This record from Alexandria describes a relaxed Ac2CuAs3Ir4 crystal. The functional is GGA-PBE.

Calculated values
Uncorrected energy = -6.817 eV/atom
D(E_F) = 0.451 states/eV per atom
Space-group type = No. 115
M_tot = 0.00 μB/f.u.
DFT formation energy = -0.65 eV per atom

Geometry as POSCAR:
```
Ac2CuAs3Ir4
1.0
4.324 0.000 0.000
0.000 4.324 0.000
0.000 0.000 10.381
Ac Cu As Ir
2 1 3 4
direct
0.000 0.500 0.240
0.500 0.000 0.760
0.500 0.500 0.000
0.000 0.000 0.000
0.000 0.500 0.636
0.500 0.000 0.364
0.000 0.000 0.500
0.000 0.500 0.872
0.500 0.000 0.128
0.500 0.500 0.500
```

=====

# 4
This record from Alexandria describes a relaxed LaTb2Dy2Ho crystal. The functional is GGA-PBE.

Calculated values
Uncorrected energy = -4.597 eV/atom
D(E_F) = 1.454 states/eV per atom
Space-group type = No. 58
M_tot = 0.00 μB/f.u.
DFT formation energy = 0.06 eV per atom

Geometry as POSCAR:
```
LaTb2Dy2Ho
1.0
6.972 0.000 0.000
0.000 9.860 0.000
0.000 0.000 5.640
La Tb Dy Ho
2 4 4 2
direct
0.000 0.000 0.000
0.500 0.500 0.500
0.248 0.333 0.000
0.252 0.833 0.500
0.748 0.167 0.500
0.752 0.667 0.000
0.249 0.667 0.000
0.251 0.167 0.500
0.749 0.833 0.500
0.751 0.333 0.000
0.000 0.500 0.500
0.500 0.000 0.000
```

=====

# 5
This record from Alexandria describes a relaxed YPd3Au4 crystal. The functional is GGA-PBE.

Calculated values
Uncorrected energy = -4.851 eV/atom
D(E_F) = 0.383 states/eV per atom
Space-group type = No. 71
M_tot = 0.00 μB/f.u.
DFT formation energy = -0.46 eV per atom

Geometry as POSCAR:
```
YPd3Au4
1.0
-2.037 2.092 8.393
2.037 -2.092 8.393
2.037 2.092 -8.393
Y Pd Au
1 3 4
direct
0.000 0.000 0.000
0.126 0.626 0.500
0.500 0.500 0.000
0.874 0.374 0.500
0.253 0.253 0.000
0.374 0.874 0.500
0.626 0.126 0.500
0.747 0.747 0.000
```

=====

# 6
This record from Alexandria describes a relaxed BaSc crystal. The functional is GGA-PBE.

Calculated values
Uncorrected energy = -3.488 eV/atom
D(E_F) = 2.119 states/eV per atom
Space-group type = No. 194
M_tot = 0.00 μB/f.u.
DFT formation energy = 0.64 eV per atom

Geometry as POSCAR:
```
BaSc
1.0
6.177 0.000 0.000
-3.088 5.349 0.000
0.000 0.000 5.590
Ba Sc
2 2
direct
0.333 0.667 0.250
0.667 0.333 0.750
0.000 0.000 0.000
0.000 0.000 0.500
```

=====

# 7
This record from Alexandria describes a relaxed Ac4PmNd crystal. The functional is GGA-PBE.

Calculated values
Uncorrected energy = -3.742 eV/atom
D(E_F) = 1.531 states/eV per atom
Space-group type = No. 166
M_tot = 0.00 μB/f.u.
DFT formation energy = 0.58 eV per atom

Geometry as POSCAR:
```
Ac4PmNd
1.0
2.944 1.700 9.627
-2.944 1.700 9.627
0.000 -3.399 9.627
Ac Pm Nd
4 1 1
direct
0.125 0.125 0.125
0.375 0.375 0.375
0.625 0.625 0.625
0.875 0.875 0.875
0.000 0.000 0.000
0.500 0.500 0.500
```

=====

# 8
This record from Alexandria describes a relaxed SrInSeBr2 crystal. The functional is GGA-PBE.

Calculated values
Uncorrected energy = -3.222 eV/atom
D(E_F) = 0.228 states/eV per atom
Uncorrected formation energy = -972 meV/atom
Space-group type = No. 123
M_tot = 0.00 μB/f.u.

Geometry as POSCAR:
```
SrInSeBr2
1.0
5.582 0.000 0.000
0.000 5.582 0.000
0.000 0.000 5.462
Sr In Se Br
1 1 1 2
direct
0.000 0.000 0.000
0.500 0.500 0.500
0.500 0.500 0.000
0.000 0.500 0.500
0.500 0.000 0.500
```